Entry 1:
First-principles (PBE) data for a geometry-optimized KCrAs structure, as listed in the Alexandria database.

Results
- DFT total energy: -30.5 eV per cell
- Energy relative to the elements: 0.03 eV/atom
- V: 154 Å³ per cell

Lattice parameters (Å, degrees): 3.5720 3.5720 12.1066 90.00 90.00 90.00
With the nearest neighbours (Å) after each atom.
Atoms (fractional coordinates):
K 0.0000 0.0000 0.0000  1 Cr 3.21, 1 As 3.43, 4 K 3.57
K 0.5000 0.5000 0.5000  1 Cr 3.21, 1 As 3.43, 4 K 3.57
Cr 0.0000 0.0000 0.2647  4 As 2.59
Cr 0.5000 0.5000 0.7647  4 As 2.59
As 0.0000 0.0000 0.7166  4 Cr 2.59
As 0.5000 0.5000 0.2166  4 Cr 2.59

Entry 2:
First-principles (PBE) data for a geometry-optimized LiBeAs3 structure, as listed in the Alexandria database.

Results
- DFT total energy: -15.5 eV per cell
- Energy relative to the elements: 0.83 eV/atom
- V: 93 Å³ per cell

Lattice parameters (Å, degrees): 4.5248 4.5248 4.5248 90.00 90.00 90.00
With the nearest neighbours (Å) after each atom.
Atoms (fractional coordinates):
Li 0.0000 0.0000 0.0000  6 As 2.26
Be 0.5000 0.5000 0.5000  12 As 3.20
As 0.0000 0.0000 0.5000  2 Li 2.26
As 0.0000 0.5000 0.0000  2 Li 2.26
As 0.5000 0.0000 0.0000  2 Li 2.26

Entry 3:
First-principles (PBE) data for a geometry-optimized Pu2UIn3Te6 structure, as listed in the Alexandria database.

Results
- DFT total energy: -74.6 eV per cell
- V: 417 Å³ per cell
- Energy relative to the elements, uncorrected: -0.631 eV per atom

Lattice parameters (Å, degrees): 7.6906 7.6906 8.5390 98.63 98.63 119.97
With the nearest neighbours (Å) after each atom.
Atoms (fractional coordinates):
Pu 0.1664 0.8336 0.0000  6 Te 3.15
Pu 0.8336 0.1664 0.0000  6 Te 3.15
U 0.5000 0.5000 0.0000  6 Te 3.08-3.09
In 0.0000 0.0000 0.5000  6 Te 3.42-3.47
In 0.3323 0.6677 0.5000  6 Te 3.41-3.47
In 0.6677 0.3323 0.5000  6 Te 3.41-3.47
Te 0.1007 0.4271 0.7810  1 U 3.08, 2 Pu 3.15, 2 In 3.42
Te 0.2476 0.2476 0.2212  1 U 3.09, 2 Pu 3.15, 2 In 3.41
Te 0.4271 0.1007 0.7810  1 U 3.08, 2 Pu 3.15, 2 In 3.42
Te 0.5729 0.8993 0.2190  1 U 3.08, 2 Pu 3.15, 2 In 3.42
Te 0.7524 0.7524 0.7788  1 U 3.09, 2 Pu 3.15, 2 In 3.41
Te 0.8993 0.5729 0.2190  1 U 3.08, 2 Pu 3.15, 2 In 3.42

Please write out number 2 again, unchanged.
First-principles (PBE) data for a geometry-optimized LiBeAs3 structure, as listed in the Alexandria database.

Results
- DFT total energy: -15.5 eV per cell
- Energy relative to the elements: 0.83 eV/atom
- V: 93 Å³ per cell

Lattice parameters (Å, degrees): 4.5248 4.5248 4.5248 90.00 90.00 90.00
With the nearest neighbours (Å) after each atom.
Atoms (fractional coordinates):
Li 0.0000 0.0000 0.0000  6 As 2.26
Be 0.5000 0.5000 0.5000  12 As 3.20
As 0.0000 0.0000 0.5000  2 Li 2.26
As 0.0000 0.5000 0.0000  2 Li 2.26
As 0.5000 0.0000 0.0000  2 Li 2.26

Q: Look up the V of the first one.
A: 154 Å³ per cell

Repeat the second record exactly.
First-principles (PBE) data for a geometry-optimized LiBeAs3 structure, as listed in the Alexandria database.

Results
- DFT total energy: -15.5 eV per cell
- Energy relative to the elements: 0.83 eV/atom
- V: 93 Å³ per cell

Lattice parameters (Å, degrees): 4.5248 4.5248 4.5248 90.00 90.00 90.00
With the nearest neighbours (Å) after each atom.
Atoms (fractional coordinates):
Li 0.0000 0.0000 0.0000  6 As 2.26
Be 0.5000 0.5000 0.5000  12 As 3.20
As 0.0000 0.0000 0.5000  2 Li 2.26
As 0.0000 0.5000 0.0000  2 Li 2.26
As 0.5000 0.0000 0.0000  2 Li 2.26